# Sr2InFe

A geometry-optimized Sr2InFe structure (PBE, Alexandria via LeMat-Bulk).

mass density	4.31	g/cm³
energy relative to the elements	53	kJ/mol of formula units
final energy	-14.016	eV for the cell shown
DOS(E_F)	5.01	states/eV/cell

Unit cell a=4.720 b=4.717 c=6.434 alpha=68.47 beta=90.00 gamma=90.00
Fractional positions:
Fe1 0.000 0.674 0.526
In1 0.500 0.571 0.733
Sr1 0.000 0.983 0.909
Sr2 0.500 0.271 0.332